Record 1
Nd2SmTe: optimized geometry, PBE.

Calculated values
Uncorrected formation energy: -584 meV per atom
E: -19.73 eV for the cell shown
Density: 7.34 g/cm3
Polymorph energy (0 for the lowest one): 0.000 eV per formula unit

Cell lengths 3.9752, 3.9752, 8.1094 Å; angles 90.00, 90.00, 90.00 degrees
Last column: nearest neighbours and their distance in Å.
Space group P4/mmm (No. 123)
Asymmetric unit:
Nd 0.0000 0.0000 0.2204 x2  4 Te 3.33, 1 Nd 3.57, 4 Sm 3.61
Sm 0.5000 0.5000 0.5000 x1  8 Nd 3.61, 4 Sm 3.98
Te 0.5000 0.5000 0.0000 x1  8 Nd 3.33

Record 2
Li5NpS4: optimized geometry, PBE.

Calculated values
Uncorrected formation energy: -1188 meV per atom
E: -101.80 eV for the cell shown
Density: 3.16 g/cm3

Cell lengths 8.2251, 8.6234, 5.9325 Å; angles 90.00, 90.00, 90.00 degrees
Last column: nearest neighbours and their distance in Å.
Space group Pmmn (No. 59, origin choice 2)
Asymmetric unit:
Li 0.0124 0.0453 0.2480 x8  3 S 2.44-2.62
Li 0.2500 0.7500 0.2287 x2  4 S 2.44-2.45
Np 0.2500 0.2500 0.7794 x2  4 S 2.60-2.62
S 0.0105 0.7500 0.4701 x4  3 Li 2.44, 1 Np 2.60
S 0.2500 0.5136 0.9989 x4  5 Li 2.45-2.62, 1 Np 2.62

Record 3
CeCdInGa: optimized geometry, PBE.

Calculated values
Formation energy from the elements: -267.7 meV per atom
E: -54.74 eV for the cell shown
Density: 7.71 g/cm3

Cell lengths 7.2225, 7.2225, 7.2225 Å; angles 90.00, 90.00, 90.00 degrees
Last column: nearest neighbours and their distance in Å.
Space group F-43m (No. 216)
Asymmetric unit:
Ce 0.0000 0.0000 0.0000 x4  4 In 3.13, 4 Ga 3.13
Cd 0.0000 0.0000 0.5000 x4  4 In 3.13, 4 Ga 3.13
In 0.2500 0.2500 0.7500 x4  4 Cd 3.13, 4 Ce 3.13
Ga 0.2500 0.2500 0.2500 x4  4 Cd 3.13, 4 Ce 3.13

Record 4
SmTm2ReO8: optimized geometry, PBE.

Calculated values
Uncorrected formation energy: -2801 meV per atom
E: -198.76 eV for the cell shown
Density: 7.82 g/cm3

Cell lengths 7.0894, 7.0987, 6.7690 Å; angles 90.00, 90.00, 90.00 degrees
Last column: nearest neighbours and their distance in Å.
Space group Cmmm (No. 65)
Asymmetric unit:
Sm 0.0000 0.0000 0.0000 x2  6 O 2.23-2.40
Tm 0.0000 0.5000 0.2478 x4  6 O 2.13-2.37
Re 0.0000 0.0000 0.5000 x2  6 O 1.91
O 0.0000 0.2690 0.5000 x4  1 Re 1.91
O 0.0000 0.3145 0.0000 x4  2 Tm 2.13, 1 Sm 2.23
O 0.1854 0.0000 0.2963 x8  1 Re 1.91

Record 5
HoSc3Tc: optimized geometry, PBE.

Calculated values
Formation energy from the elements: -26.4 meV per atom
E: -136.28 eV for the cell shown
Density: 5.28 g/cm3
Polymorph energy (0 for the lowest one): 0.330 eV per formula unit

Cell lengths 11.1600, 8.0828, 7.3978 Å; angles 90.00, 131.38, 90.00 degrees
Last column: nearest neighbours and their distance in Å.
Space group C2/m (No. 12)
Asymmetric unit:
Ho 0.0540 0.0000 0.2770 x4  1 Tc 2.69
Sc 0.0589 0.5000 0.3624 x4  2 Tc 2.58-2.87
Sc 0.2317 0.3053 0.1823 x8  1 Tc 2.55
Tc 0.2434 0.5000 0.8727 x4  3 Sc 2.55-2.58, 1 Ho 2.69

Record 6
Tb4ErTm5: optimized geometry, PBE.

Calculated values
Formation energy from the elements: 309.7 meV per atom
E: -84.69 eV for the cell shown
Density: 8.61 g/cm3
Polymorph energy (0 for the lowest one): 2.531 eV per formula unit

Cell lengths 10.1330, 10.1330, 6.1886 Å; angles 90.00, 90.00, 90.00 degrees
Last column: nearest neighbours and their distance in Å.
Space group I4 (No. 79)
Asymmetric unit:
Tb 0.0472 0.6538 0.0000 x8  4 Tm 3.20-3.46, 1 Tb 3.26
Er 0.0000 0.0000 0.7680 x2  1 Tm 2.87
Tm 0.0000 0.0000 0.2323 x2  1 Er 2.87
Tm 0.1462 0.7693 0.4995 x8  4 Tb 3.20-3.46, 1 Tm 3.22, 1 Er 3.23

Copy entry 2 word for word.
Li5NpS4: optimized geometry, PBE.

Calculated values
Uncorrected formation energy: -1188 meV per atom
E: -101.80 eV for the cell shown
Density: 3.16 g/cm3

Cell lengths 8.2251, 8.6234, 5.9325 Å; angles 90.00, 90.00, 90.00 degrees
Last column: nearest neighbours and their distance in Å.
Space group Pmmn (No. 59, origin choice 2)
Asymmetric unit:
Li 0.0124 0.0453 0.2480 x8  3 S 2.44-2.62
Li 0.2500 0.7500 0.2287 x2  4 S 2.44-2.45
Np 0.2500 0.2500 0.7794 x2  4 S 2.60-2.62
S 0.0105 0.7500 0.4701 x4  3 Li 2.44, 1 Np 2.60
S 0.2500 0.5136 0.9989 x4  5 Li 2.45-2.62, 1 Np 2.62